A plane-wave DFT calculation with PBE was carried out for crystalline K2HgCl5 at its relaxed geometry.

Geometry as POSCAR:
```
K2HgCl5
1.0
5.919 0.000 0.000
-2.960 7.501 0.000
0.000 0.000 13.035
K Cl Hg
4 10 2
Cartesian
0.000 2.481 11.884
2.960 5.020 5.366
0.000 2.481 7.669
2.960 5.020 1.151
2.960 6.843 11.622
0.000 4.808 9.776
2.960 3.271 11.553
0.000 4.230 1.482
0.000 0.658 5.104
2.960 6.843 7.930
0.000 4.230 5.035
2.960 2.693 3.259
0.000 0.658 1.413
2.960 3.271 7.999
2.960 5.117 9.776
0.000 2.384 3.259
```

Output
- ΔE_f (raw) (eV per formula unit) = -8.9
- E (eV/atom) = -2.577
- N(E_F) (states/eV per cell) = 13.6
- space-group type = Cmcm (63)